DFT (GGA-PBE) results for a geometry-optimized CdTc2Hg structure.

The structure in POSCAR format:
```
CdTc2Hg
1.0
3.274 0.000 0.000
0.000 4.458 0.000
0.000 0.000 4.767
Cd Tc Hg
1 2 1
Direct
0.000 0.000 0.000 Cd
0.000 0.500 0.500 Tc
0.500 0.000 0.500 Tc
0.500 0.500 0.000 Hg
```

Properties
**Distance to the lowest polymorph of the same formula**: 0.475 eV/atom
**M_tot**: 0.0 μB/f.u.
**SG**: Pmmm, No. 47



DFT (GGA-PBE) results for a geometry-optimized BaSrZn2 structure.

The structure in POSCAR format:
```
BaSrZn2
1.0
4.006 0.000 0.000
0.000 7.017 0.000
0.000 0.000 13.233
Ba Sr Zn
2 2 4
Direct
0.000 0.000 0.000 Ba
0.500 0.500 0.500 Ba
0.000 0.000 0.500 Sr
0.500 0.500 0.000 Sr
0.000 0.000 0.255 Zn
0.000 0.000 0.745 Zn
0.500 0.500 0.245 Zn
0.500 0.500 0.755 Zn
```

Properties
**M_tot**: 0.4 μB/f.u.
**Uncorrected energy**: -0.977 eV/atom
**SG**: Immm, No. 71



DFT (GGA-PBE) results for a geometry-optimized HoAl3Zn2 structure.

The structure in POSCAR format:
```
HoAl3Zn2
1.0
7.776 -2.158 0.000
7.776 2.158 0.000
-1.898 0.000 6.478
Ho Al Zn
2 6 4
Direct
0.117 0.117 0.183 Ho
0.883 0.883 0.817 Ho
0.067 0.067 0.685 Al
0.302 0.302 0.076 Al
0.379 0.379 0.498 Al
0.621 0.621 0.502 Al
0.698 0.698 0.924 Al
0.933 0.933 0.315 Al
0.237 0.237 0.656 Zn
0.475 0.475 0.159 Zn
0.525 0.525 0.841 Zn
0.763 0.763 0.344 Zn
```

Properties
**M_tot**: 0.0 μB/f.u.
**Uncorrected energy**: -3.313 eV/atom
**SG**: C2/m, No. 12



DFT (GGA-PBE) results for a geometry-optimized KGe2Au6 structure.

The structure in POSCAR format:
```
KGe2Au6
1.0
0.000 6.142 6.142
6.142 0.000 6.142
6.142 6.142 0.000
K Ge Au
2 4 12
Direct
0.125 0.125 0.125 K
0.875 0.875 0.875 K
0.000 0.500 0.500 Ge
0.500 0.000 0.500 Ge
0.500 0.500 0.000 Ge
0.500 0.500 0.500 Ge
0.144 0.144 0.606 Au
0.144 0.606 0.144 Au
0.144 0.606 0.606 Au
0.394 0.394 0.856 Au
0.394 0.856 0.394 Au
0.394 0.856 0.856 Au
0.606 0.144 0.144 Au
0.606 0.144 0.606 Au
0.606 0.606 0.144 Au
0.856 0.394 0.394 Au
0.856 0.394 0.856 Au
0.856 0.856 0.394 Au
```

Properties
**Distance to the lowest polymorph of the same formula**: 0.229 eV/atom
**M_tot**: 0.0 μB/f.u.
**SG**: Fd-3m, No. 227



DFT (GGA-PBE) results for a geometry-optimized ScTiCdOs structure.

The structure in POSCAR format:
```
ScTiCdOs
1.0
6.549 0.000 0.000
0.000 6.549 0.000
0.000 0.000 6.549
Sc Ti Cd Os
4 4 4 4
Direct
0.000 0.000 0.000 Sc
0.000 0.500 0.500 Sc
0.500 0.000 0.500 Sc
0.500 0.500 0.000 Sc
0.000 0.000 0.500 Ti
0.000 0.500 0.000 Ti
0.500 0.000 0.000 Ti
0.500 0.500 0.500 Ti
0.250 0.250 0.250 Cd
0.250 0.750 0.750 Cd
0.750 0.250 0.750 Cd
0.750 0.750 0.250 Cd
0.250 0.250 0.750 Os
0.250 0.750 0.250 Os
0.750 0.250 0.250 Os
0.750 0.750 0.750 Os
```

Properties
**M_tot**: 0.0 μB/f.u.
**Uncorrected energy**: -6.823 eV/atom
**SG**: F-43m, No. 216



DFT (GGA-PBE) results for a geometry-optimized LiCePbCl6 structure.

The structure in POSCAR format:
```
LiCePbCl6
1.0
6.891 0.000 0.000
-3.445 5.968 0.000
0.000 0.000 12.697
Li Ce Pb Cl
2 2 2 12
Direct
0.333 0.667 0.250 Li
0.667 0.333 0.750 Li
0.333 0.667 0.750 Ce
0.667 0.333 0.250 Ce
0.000 0.000 0.000 Pb
0.000 0.000 0.500 Pb
0.016 0.358 0.132 Cl
0.016 0.658 0.368 Cl
0.342 0.358 0.368 Cl
0.342 0.984 0.132 Cl
0.358 0.016 0.632 Cl
0.358 0.342 0.868 Cl
0.642 0.658 0.132 Cl
0.642 0.984 0.368 Cl
0.658 0.016 0.868 Cl
0.658 0.642 0.632 Cl
0.984 0.342 0.632 Cl
0.984 0.642 0.868 Cl
```

Properties
**M_tot**: 1.0 μB/f.u.
**Formation energy from raw total energies**: -1.751 eV per atom
**SG**: P-31c, No. 163



| no. | V (Å³/cell) | DOS at the Fermi energy (states/eV/atom) |
| --- | --- | --- |
| 1 | 69.6 | 1.09 |
| 2 | 372.0 | 1.27 |
| 3 | 217.4 | 0.29 |
| 4 | 463.5 | 0.34 |
| 5 | 280.9 | 0.74 |
| 6 | 522.1 | 0.91 |